Compound: Ac2CdIn6Ir
Source: Alexandria via LeMat-Bulk
Functional: PBE-GGA
Structure: optimized geometry

a b c (Å): 10.685 10.685 10.685
angles (deg): 90.00 90.00 90.00
Space group Fm-3m (No. 225)
Symmetry-distinct sites (fractional):
Ac 0.250 0.250 0.250 (multiplicity 8)
Cd 0.000 0.000 0.000 (multiplicity 4)
In 0.000 0.000 0.256 (multiplicity 24)
Ir 0.000 0.000 0.500 (multiplicity 4)

The calculation puts the density of states at the Fermi level at 23.86 states/eV/cell. For the formation energy, the calculation gives -0.24 eV per formula unit.

Compound: Tl2CdHgPt
Source: Alexandria via LeMat-Bulk
Functional: PBE-GGA
Structure: optimized geometry

a b c (Å): 5.327 5.327 5.355
angles (deg): 90.00 90.00 90.00
Space group P4/mmm (No. 123)
Symmetry-distinct sites (fractional):
Tl 0.000 0.500 0.000 (multiplicity 2)
Cd 0.000 0.000 0.500 (multiplicity 1)
Hg 0.500 0.500 0.500 (multiplicity 1)
Pt 0.000 0.000 0.000 (multiplicity 1)

The value obtained for the offset from the most stable computed form is 0 meV/atom. The calculation puts the density of states at the Fermi level at 1.53 states/eV/cell. For the formation energy, the calculation gives -0.38 eV per formula unit.

Compound: NaAcSm
Source: Alexandria via LeMat-Bulk
Functional: PBE-GGA
Structure: optimized geometry

a b c (Å): 3.7944 3.7944 9.4696
angles (deg): 90.00 90.00 120.00
Space group P3m1 (No. 156)
Symmetry-distinct sites (fractional):
Na 0.0000 0.0000 0.0000 (multiplicity 1)
Ac 0.6667 0.3333 0.3539 (multiplicity 1)
Sm 0.3333 0.6667 0.6672 (multiplicity 1)

The value obtained for the offset from the most stable computed form is 1 meV/atom. The calculation puts the density of states at the Fermi level at 3.82 states/eV/cell. For the formation energy, the calculation gives 0.39 eV per formula unit.

Compound: Pr3Th5Sb8
Source: Alexandria via LeMat-Bulk
Functional: PBE-GGA
Structure: optimized geometry

a b c (Å): 9.0489 9.0489 22.1566
angles (deg): 90.00 90.00 120.00
Space group R-3m (No. 166, hexagonal axes)
Symmetry-distinct sites (fractional):
Pr 0.0000 0.5000 0.0000 (multiplicity 9)
Th 0.0000 0.0000 0.0000 (multiplicity 3)
Th 0.0000 0.0000 0.5000 (multiplicity 3)
Th 0.0000 0.5000 0.5000 (multiplicity 9)
Sb 0.0000 0.0000 0.2488 (multiplicity 6)
Sb 0.0013 0.5006 0.7507 (multiplicity 18)

As for the uncorrected formation energy: -1.026 eV/atom. The calculation puts the density of states at the Fermi level at 27.13 states/eV/cell.